The following is a DFT calculation (PBE) of ThBeIrC after structural relaxation.

Results
Density of states at the Fermi level (states/eV per cell): 2.880
Formation energy from the elements (eV/atom): -0.47

Cell: 3.8250 3.8250 8.3317 Å, 90.00 90.00 90.00°
Atoms (fractional coordinates):
1 Th 0.5000 0.0000 0.1654
2 Ir 0.5000 0.5000 0.5000
3 Th 0.0000 0.5000 0.8346
4 C 0.0000 0.5000 0.1302
5 C 0.5000 0.0000 0.8698
6 Ir 0.0000 0.0000 0.5000
7 Be 0.5000 0.0000 0.6616
8 Be 0.0000 0.5000 0.3384

The following is a DFT calculation (PBE) of UBeIrC after structural relaxation.

Results
Density of states at the Fermi level (states/eV per cell): 9.859
Formation energy from the elements (eV/atom): -0.26

Cell: 3.7235 3.7235 7.9462 Å, 90.00 90.00 90.00°
Atoms (fractional coordinates):
1 Ir 0.5000 0.5000 0.5000
2 C 0.0000 0.5000 0.1140
3 C 0.5000 0.0000 0.8860
4 U 0.5000 0.0000 0.1665
5 Be 0.5000 0.0000 0.6697
6 U 0.0000 0.5000 0.8335
7 Be 0.0000 0.5000 0.3303
8 Ir 0.0000 0.0000 0.5000

The following is a DFT calculation (PBE) of Y2BeIrC after structural relaxation.

Results
Density of states at the Fermi level (states/eV per cell): 1.579
Formation energy from the elements (eV/atom): -0.41

Cell: 5.0064 5.0064 3.3748 Å, 90.00 90.00 90.00°
Atoms (fractional coordinates):
1 C 0.0000 0.0000 0.0000
2 Y 0.5000 0.0000 0.0000
3 Ir 0.5000 0.5000 0.5000
4 Y 0.0000 0.5000 0.0000
5 Be 0.0000 0.0000 0.5000

The following is a DFT calculation (PBE) of ZrBe2IrC after structural relaxation.

Results
Density of states at the Fermi level (states/eV per cell): 2.744
Formation energy from the elements (eV/atom): 0.48

Cell: 4.2539 3.8618 4.2539 Å, 90.00 90.00 90.00°
Atoms (fractional coordinates):
1 Zr 0.5000 0.5000 0.5000
2 Be 0.5000 0.0000 0.0000
3 Ir 0.0000 0.0000 0.0000
4 Be 0.0000 0.0000 0.5000
5 C 0.0000 0.5000 0.0000

The following is a DFT calculation (PBE) of KBeC2 after structural relaxation.

Results
Density of states at the Fermi level (states/eV per cell): 4.870
Formation energy from the elements (eV/atom): 1.41

Cell: 4.1863 4.1863 6.6528 Å, 71.66 71.66 90.00°
Atoms (fractional coordinates):
1 Be 0.2500 0.7500 0.5000
2 K 0.7500 0.2500 0.5000
3 C 0.3750 0.6250 0.7500
4 C 0.3750 0.6250 0.2500
5 K 0.0000 0.0000 0.0000
6 C 0.8750 0.6250 0.7500
7 Be 0.5000 0.5000 0.0000
8 C 0.3750 0.1250 0.2500

The following is a DFT calculation (PBE) of KBe3C after structural relaxation.

Results
Density of states at the Fermi level (states/eV per cell): 9.762
Formation energy from the elements (eV/atom): 3.44
Excess energy over the best structure of this formula in the dataset (eV/f.u.): 11.15

Cell: 6.2842 6.2842 6.2842 Å, 90.00 90.00 90.00°
Atoms (fractional coordinates):
1 K 0.0000 0.0000 0.0000
2 Be 0.0000 0.0000 0.5000
3 C 0.5000 0.5000 0.5000
4 Be 0.5000 0.0000 0.0000
5 Be 0.0000 0.5000 0.0000

The following is a DFT calculation (PBE) of KBe3C after structural relaxation.

Results
Density of states at the Fermi level (states/eV per cell): 2.345
Formation energy from the elements (eV/atom): 1.21
Excess energy over the best structure of this formula in the dataset (eV/f.u.): 0.00

Cell: 3.8907 3.8907 3.8907 Å, 90.00 90.00 90.00°
Atoms (fractional coordinates):
1 Be 0.0000 0.5000 0.0000
2 Be 0.0000 0.0000 0.5000
3 K 0.5000 0.5000 0.5000
4 Be 0.5000 0.0000 0.0000
5 C 0.0000 0.0000 0.0000

The following is a DFT calculation (PBE) of KBe2C after structural relaxation.

Results
Density of states at the Fermi level (states/eV per cell): 7.196
Formation energy from the elements (eV/atom): 0.45

Cell: 5.4121 5.4121 5.6786 Å, 61.54 61.54 90.00°
Atoms (fractional coordinates):
1 C 0.5000 0.5000 0.0000
2 Be 0.3750 0.6250 0.7500
3 Be 0.3750 0.1250 0.2500
4 K 0.0000 0.0000 0.0000
5 K 0.7500 0.2500 0.5000
6 Be 0.3750 0.6250 0.2500
7 Be 0.8750 0.6250 0.7500
8 C 0.2500 0.7500 0.5000

The following is a DFT calculation (PBE) of KBeC3 after structural relaxation.

Results
Density of states at the Fermi level (states/eV per cell): 2.884
Formation energy from the elements (eV/atom): 4.64
Excess energy over the best structure of this formula in the dataset (eV/f.u.): 10.92

Cell: 4.5602 4.5602 4.5602 Å, 90.00 90.00 90.00°
Atoms (fractional coordinates):
1 C 0.5000 0.0000 0.0000
2 K 0.0000 0.0000 0.0000
3 C 0.0000 0.5000 0.0000
4 Be 0.5000 0.5000 0.5000
5 C 0.0000 0.0000 0.5000

The following is a DFT calculation (PBE) of KBeC3 after structural relaxation.

Results
Density of states at the Fermi level (states/eV per cell): 2.227
Formation energy from the elements (eV/atom): 2.46
Excess energy over the best structure of this formula in the dataset (eV/f.u.): 0.00

Cell: 3.8647 3.8647 3.8647 Å, 90.00 90.00 90.00°
Atoms (fractional coordinates):
1 C 0.5000 0.0000 0.0000
2 Be 0.0000 0.0000 0.0000
3 C 0.0000 0.0000 0.5000
4 C 0.0000 0.5000 0.0000
5 K 0.5000 0.5000 0.5000

The lowest density of states at the Fermi level belongs to which entry?
Y2BeIrC

Look up the density of states at the Fermi level of the ninth one.
2.884 states/eV per cell

Among the records above, which one has the highest formation energy from the elements?
number 9

Among the records above, which one has the highest density of states at the Fermi level?
UBeIrC